Crystalline NbSiHgO6 at its relaxed geometry, computed with PBE.

Cell: 5.149 5.149 4.757 Å, 90.00 90.00 120.00°
Fractional positions:
1 Nb 0.000 0.000 0.000
2 Si 0.333 0.667 0.000
3 Hg 0.667 0.333 0.500
4 O 0.058 0.363 0.210
5 O 0.058 0.695 0.790
6 O 0.305 0.363 0.790
7 O 0.305 0.942 0.210
8 O 0.637 0.695 0.210
9 O 0.637 0.942 0.790

## Properties
- magnetization (μB per cell) = 0.00
- SG = P312
- raw formation energy (eV per atom) = -1.746
- density of states at the Fermi level (states/eV/atom) = 0.6414



Crystalline SrNb2HgO7 at its relaxed geometry, computed with PBE.

Cell: 10.735 10.735 10.735 Å, 158.56 158.56 30.50°
Fractional positions:
1 Sr 0.000 0.000 0.000
2 Nb 0.398 0.398 0.000
3 Nb 0.602 0.602 0.000
4 Hg 0.750 0.250 0.500
5 O 0.089 0.589 0.500
6 O 0.304 0.304 0.000
7 O 0.411 0.911 0.500
8 O 0.500 0.500 0.000
9 O 0.594 0.094 0.500
10 O 0.696 0.696 0.000
11 O 0.906 0.406 0.500

## Properties
- magnetization (μB per cell) = 0.00
- SG = I-4m2
- raw formation energy (eV per atom) = -2.269



Crystalline TaNbHgO6 at its relaxed geometry, computed with PBE.

Cell: 7.496 7.496 7.496 Å, 120.11 119.90 89.99°
Fractional positions:
1 Ta 0.500 0.000 0.000
2 Ta 0.500 0.500 0.500
3 Nb 0.000 0.000 0.000
4 Nb 0.500 0.000 0.500
5 Hg 0.127 0.377 0.750
6 Hg 0.873 0.623 0.250
7 O 0.185 0.935 0.250
8 O 0.188 0.315 0.252
9 O 0.188 0.935 0.873
10 O 0.437 0.065 0.752
11 O 0.437 0.685 0.373
12 O 0.438 0.688 0.750
13 O 0.562 0.312 0.250
14 O 0.563 0.315 0.627
15 O 0.563 0.935 0.248
16 O 0.812 0.065 0.127
17 O 0.812 0.685 0.748
18 O 0.815 0.065 0.750

## Properties
- magnetization (μB per cell) = 2.25
- SG = Imma
- raw formation energy (eV per atom) = -1.861
- density of states at the Fermi level (states/eV/atom) = 0.8945



Crystalline NbTcHgO6 at its relaxed geometry, computed with PBE.

Cell: 7.435 7.435 7.435 Å, 121.19 119.40 89.50°
Fractional positions:
1 Nb 0.000 0.000 0.000
2 Nb 0.500 0.000 0.500
3 Tc 0.500 0.000 0.000
4 Tc 0.500 0.500 0.500
5 Hg 0.159 0.409 0.750
6 Hg 0.841 0.591 0.250
7 O 0.193 0.943 0.250
8 O 0.205 0.317 0.261
9 O 0.205 0.945 0.889
10 O 0.442 0.692 0.750
11 O 0.444 0.055 0.761
12 O 0.444 0.683 0.389
13 O 0.556 0.317 0.611
14 O 0.556 0.945 0.239
15 O 0.558 0.308 0.250
16 O 0.795 0.055 0.111
17 O 0.795 0.683 0.739
18 O 0.807 0.057 0.750

## Properties
- magnetization (μB per cell) = 0.00
- SG = Imma
- raw formation energy (eV per atom) = -1.503
- density of states at the Fermi level (states/eV/atom) = 0.1046



Crystalline NbHgTeO5 at its relaxed geometry, computed with PBE.

Cell: 5.917 5.917 7.959 Å, 100.90 100.90 111.68°
Fractional positions:
1 Nb 0.000 0.000 0.000
2 Nb 0.000 0.000 0.500
3 Hg 0.304 0.696 0.750
4 Hg 0.696 0.304 0.250
5 Te 0.341 0.659 0.250
6 Te 0.659 0.341 0.750
7 O 0.009 0.991 0.250
8 O 0.204 0.793 0.996
9 O 0.207 0.796 0.504
10 O 0.324 0.343 0.097
11 O 0.343 0.324 0.597
12 O 0.657 0.676 0.403
13 O 0.676 0.657 0.903
14 O 0.793 0.204 0.496
15 O 0.796 0.207 0.004
16 O 0.991 0.009 0.750

## Properties
- magnetization (μB per cell) = 0.00
- SG = C2/c
- raw formation energy (eV per atom) = -1.305
- density of states at the Fermi level (states/eV/atom) = 0.1528



Crystalline NbHgTe2O8 at its relaxed geometry, computed with PBE.

Cell: 6.658 6.658 5.510 Å, 113.35 113.35 50.59°
Fractional positions:
1 Nb 0.000 0.000 0.000
2 Hg 0.500 0.500 0.500
3 Te 0.272 0.272 0.778
4 Te 0.728 0.728 0.222
5 O 0.088 0.088 0.782
6 O 0.140 0.627 0.752
7 O 0.325 0.325 0.158
8 O 0.373 0.860 0.248
9 O 0.627 0.140 0.752
10 O 0.675 0.675 0.842
11 O 0.860 0.373 0.248
12 O 0.912 0.912 0.218

## Properties
- magnetization (μB per cell) = 0.00
- SG = C2/m
- raw formation energy (eV per atom) = -1.152
- density of states at the Fermi level (states/eV/atom) = 0.3133



Crystalline NbHgTeO6 at its relaxed geometry, computed with PBE.

Cell: 5.460 5.460 9.949 Å, 90.00 90.00 120.00°
Fractional positions:
1 Nb 0.333 0.667 0.250
2 Nb 0.667 0.333 0.750
3 Hg 0.000 0.000 0.000
4 Hg 0.000 0.000 0.500
5 Te 0.333 0.667 0.750
6 Te 0.667 0.333 0.250
7 O 0.001 0.376 0.139
8 O 0.001 0.625 0.361
9 O 0.375 0.376 0.361
10 O 0.375 0.999 0.139
11 O 0.376 0.001 0.639
12 O 0.376 0.375 0.861
13 O 0.624 0.625 0.139
14 O 0.624 0.999 0.361
15 O 0.625 0.001 0.861
16 O 0.625 0.624 0.639
17 O 0.999 0.375 0.639
18 O 0.999 0.624 0.861

## Properties
- magnetization (μB per cell) = 0.00
- SG = P-31c
- raw formation energy (eV per atom) = -1.326
- density of states at the Fermi level (states/eV/atom) = 0.3737



Crystalline NbTlHg2O4 at its relaxed geometry, computed with PBE.

Cell: 6.364 6.347 5.911 Å, 62.43 62.14 55.42°
Fractional positions:
1 Nb 0.000 0.000 0.000
2 Tl 0.501 0.501 0.499
3 Hg 0.251 0.251 0.249
4 Hg 0.751 0.751 0.749
5 O 0.073 0.701 0.927
6 O 0.298 0.928 0.072
7 O 0.701 0.073 0.299
8 O 0.928 0.298 0.702

## Properties
- magnetization (μB per cell) = 0.00
- SG = Fmm2
- raw formation energy (eV per atom) = -1.135
- density of states at the Fermi level (states/eV/atom) = 0.3447



Crystalline NbTlHgO4 at its relaxed geometry, computed with PBE.

Cell: 6.558 6.404 7.185 Å, 90.00 100.23 90.00°
Fractional positions:
1 Nb 0.179 0.250 0.103
2 Nb 0.821 0.750 0.897
3 Tl 0.237 0.750 0.406
4 Tl 0.763 0.250 0.594
5 Hg 0.350 0.750 0.912
6 Hg 0.650 0.250 0.088
7 O 0.030 0.750 0.746
8 O 0.062 0.250 0.855
9 O 0.361 0.013 0.155
10 O 0.361 0.487 0.155
11 O 0.639 0.513 0.845
12 O 0.639 0.987 0.845
13 O 0.938 0.750 0.145
14 O 0.970 0.250 0.254

## Properties
- magnetization (μB per cell) = 0.00
- SG = P2_1/m
- raw formation energy (eV per atom) = -1.415
- density of states at the Fermi level (states/eV/atom) = 0.0000



- Which formula does entry 1 have?
  NbSiHgO6



- Which formula does entry 7 have?
  NbHgTeO6



- Which of these has the highest magnetization?
  TaNbHgO6